Record 1
Compound: TlZn2AsO6
Source: the Alexandria database
Functional: PBE
Structure: relaxed

Computed properties:
VASP energy	-0.18460	hartree per atom
total magnetization	0.000	μB/cell
crystal system	monoclinic
space group	C2/c (15)

```
TlZn2AsO6
1.0
6.0747 -5.5852 0.0000
6.0747 5.5852 0.0000
-2.9745 0.0000 5.5093
Tl Zn As O
2 4 2 12
Direct
0.0907 0.9093 0.7500
0.9093 0.0907 0.2500
0.1596 0.3168 0.1639
0.3168 0.1596 0.6639
0.6832 0.8404 0.3361
0.8404 0.6832 0.8361
0.2716 0.7284 0.2500
0.7284 0.2716 0.7500
0.1021 0.7459 0.9986
0.1401 0.2386 0.4221
0.2386 0.1401 0.9221
0.2515 0.5482 0.3111
0.2541 0.8979 0.5014
0.4518 0.7485 0.1889
0.5482 0.2515 0.8111
0.7459 0.1021 0.4986
0.7485 0.4518 0.6889
0.7614 0.8599 0.0779
0.8599 0.7614 0.5779
0.8979 0.2541 0.0014
```

***

Record 2
Compound: TlZnAs2O6
Source: the Alexandria database
Functional: PBE
Structure: relaxed

Computed properties:
VASP energy	-0.19724	hartree per atom
total magnetization	0.000	μB/cell
crystal system	monoclinic
space group	C2/c (15)

```
TlZnAs2O6
1.0
5.6605 -5.5058 0.0000
5.6605 5.5058 0.0000
-3.3006 0.0000 5.5293
Tl Zn As O
2 2 4 12
Direct
0.1432 0.8568 0.7500
0.8568 0.1432 0.2500
0.2046 0.7954 0.2500
0.7954 0.2046 0.7500
0.2357 0.3758 0.9123
0.3758 0.2357 0.4123
0.6242 0.7643 0.5877
0.7643 0.6242 0.0877
0.0470 0.2090 0.7361
0.1663 0.5903 0.9451
0.2090 0.0470 0.2361
0.3370 0.3736 0.2272
0.3736 0.3370 0.7272
0.4097 0.8337 0.5549
0.5903 0.1663 0.4451
0.6264 0.6630 0.2728
0.6630 0.6264 0.7728
0.7910 0.9530 0.7639
0.8337 0.4097 0.0549
0.9530 0.7910 0.2639
```

***

Record 3
Compound: TlZnAs2O8
Source: the Alexandria database
Functional: PBE
Structure: relaxed

Computed properties:
VASP energy	-0.19333	hartree per atom
total magnetization	1.107	μB/cell
crystal system	tetragonal
space group	I-4m2 (119)

```
TlZnAs2O8
1.0
-3.5310 3.5310 3.1461
3.5310 -3.5310 3.1461
3.5310 3.5310 -3.1461
Tl Zn As O
1 1 2 8
Direct
0.0000 0.0000 0.0000
0.7500 0.2500 0.5000
0.2500 0.7500 0.5000
0.5000 0.5000 0.0000
0.0625 0.3849 0.3223
0.0625 0.7402 0.6777
0.1351 0.3214 0.8137
0.2598 0.9375 0.3223
0.5077 0.3214 0.1863
0.6151 0.9375 0.6777
0.6786 0.4923 0.8137
0.6786 0.8649 0.1863
```

***

Record 4
Compound: Zr2TlAsO
Source: the Alexandria database
Functional: PBE
Structure: relaxed

Computed properties:
VASP energy	-0.21907	hartree per atom
total magnetization	0.000	μB/cell
crystal system	tetragonal
space group	P4/mmm (123)

```
Zr2TlAsO
1.0
5.2452 0.0000 0.0000
0.0000 5.2452 0.0000
0.0000 0.0000 3.8760
Zr Tl As O
2 1 1 1
Direct
0.0000 0.5000 0.0000
0.5000 0.0000 0.0000
0.0000 0.0000 0.5000
0.5000 0.5000 0.0000
0.5000 0.5000 0.5000
```

***

Record 5
Compound: ZrTl2As2O6
Source: the Alexandria database
Functional: PBE
Structure: relaxed

Computed properties:
VASP energy	-0.23579	hartree per atom
total magnetization	0.000	μB/cell
crystal system	monoclinic
space group	C2/m (12)

```
ZrTl2As2O6
1.0
4.8246 -2.9053 0.0000
4.8246 2.9053 0.0000
-2.0180 0.0000 7.1909
Zr Tl As O
1 2 2 6
Direct
0.0000 0.0000 0.0000
0.2553 0.2553 0.7068
0.7447 0.7447 0.2932
0.3936 0.3936 0.2590
0.6064 0.6064 0.7410
0.2283 0.2283 0.0755
0.2577 0.7284 0.1953
0.2716 0.7423 0.8047
0.7284 0.2577 0.1953
0.7423 0.2716 0.8047
0.7717 0.7717 0.9245
```

***

Record 6
Compound: ZrTlAsO5
Source: the Alexandria database
Functional: PBE
Structure: relaxed

Computed properties:
VASP energy	-0.25610	hartree per atom
total magnetization	0.000	μB/cell
crystal system	monoclinic
space group	C2/c (15)

```
ZrTlAsO5
1.0
3.7138 -4.8698 0.0000
3.7138 4.8698 0.0000
-3.5086 0.0000 7.0090
Zr Tl As O
2 2 2 10
Direct
0.0000 0.0000 0.0000
0.0000 0.0000 0.5000
0.3238 0.6762 0.7500
0.6762 0.3238 0.2500
0.3113 0.6887 0.2500
0.6887 0.3113 0.7500
0.0580 0.9420 0.7500
0.1281 0.7111 0.3834
0.2215 0.3898 0.1023
0.2889 0.8719 0.1166
0.3898 0.2215 0.6023
0.6102 0.7785 0.3977
0.7111 0.1281 0.8834
0.7785 0.6102 0.8977
0.8719 0.2889 0.6166
0.9420 0.0580 0.2500
```